Record 1
Compound: GaSn3Rh
Source: the Alexandria database
Functional: PBE
Structure: optimized geometry

The structure in POSCAR format:
```
GaSn3Rh
1.0
5.156 0.000 0.000
0.000 5.156 0.000
0.000 0.000 5.156
Ga Sn Rh
1 3 1
Cartesian
0.000 0.000 0.000
0.000 0.000 2.578
0.000 2.578 0.000
2.578 0.000 0.000
2.578 2.578 2.578
```

Results
**Calculated volume**: 137.0 Å³ per cell
**Space-group type**: No. 221
**Total magnetic moment**: 0.00 μB/f.u.


Record 2
Compound: Ga2SnRh2
Source: the Alexandria database
Functional: PBE
Structure: optimized geometry

The structure in POSCAR format:
```
Ga2SnRh2
1.0
7.528 0.000 0.000
0.000 7.528 0.000
0.000 0.000 2.914
Ga Sn Rh
4 2 4
Cartesian
1.004 2.760 0.000
2.760 6.523 0.000
4.768 1.004 0.000
6.523 4.768 0.000
0.000 0.000 0.000
3.764 3.764 0.000
1.187 4.950 1.457
2.577 1.187 1.457
4.950 6.341 1.457
6.341 2.577 1.457
```

Results
**Calculated volume**: 165.1 Å³ per cell
**Space-group type**: No. 127
**Total magnetic moment**: 0.00 μB/f.u.


Record 3
Compound: GaSnRh2
Source: the Alexandria database
Functional: PBE
Structure: optimized geometry

The structure in POSCAR format:
```
GaSnRh2
1.0
3.815 0.000 0.000
-1.908 3.304 0.000
0.000 0.000 17.194
Ga Sn Rh
3 3 6
Cartesian
0.000 0.000 0.000
0.000 2.203 11.463
1.908 1.101 5.731
0.000 0.000 2.948
0.000 2.203 14.411
1.908 1.101 8.680
0.000 0.000 10.101
0.000 0.000 12.908
0.000 2.203 4.370
0.000 2.203 7.176
1.908 1.101 1.445
1.908 1.101 15.832
```

Results
**Calculated volume**: 216.8 Å³ per cell
**Space-group type**: No. 160
**Total magnetic moment**: 0.00 μB/f.u.


Number 1: energy above the most stable polymorph in this dataset 1.079 eV per atom, energy of formation from the pure elements 19.460 kcal/mol of atoms. Number 2: energy above the most stable polymorph in this dataset 0.093 eV per atom, energy of formation from the pure elements -8.055 kcal/mol of atoms. Number 3: energy above the most stable polymorph in this dataset 0.184 eV per atom, energy of formation from the pure elements -7.068 kcal/mol of atoms.